Entry 1:
This record from Alexandria via LeMat-Bulk describes a relaxed AuSO2 crystal. The functional is PBE.

It has space group I-42d (No. 122), with a = 4.661 Å, b = 4.661 Å, c = 10.918 Å, α = 90.00°, β = 90.00° and γ = 90.00°. The inequivalent atoms are Au at (0.000, 0.000, 0.000), S at (0.000, 0.000, 0.500) and O at (0.159, 0.250, 0.625).

Its formation energy from raw total energies is 46 kJ per mole of atoms. For the total energy, the calculation gives -3.851 eV/atom. As for the density of states at the Fermi level: 0.115 states/eV/atom. The volume comes out at 14.8 Å³ per atom.

---

Entry 2:
This record from Alexandria via LeMat-Bulk describes a relaxed Au3SO crystal. The functional is PBE.

It has space group Pm-3m (No. 221), with a = 4.496 Å, b = 4.496 Å, c = 4.496 Å, α = 90.00°, β = 90.00° and γ = 90.00°. The inequivalent atoms are Au at (0.000, 0.000, 0.500), S at (0.500, 0.500, 0.500) and O at (0.000, 0.000, 0.000).

Its formation energy from raw total energies is 64 kJ per mole of atoms. The calculation puts the energy above the most stable polymorph in this dataset at 0.000 eV per atom. For the total energy, the calculation gives -3.125 eV/atom. As for the density of states at the Fermi level: 0.856 states/eV/atom. The volume comes out at 18.2 Å³ per atom.

---

Entry 3:
This record from Alexandria via LeMat-Bulk describes a relaxed AuSO2 crystal. The functional is PBE.

It has space group R-3m (No. 166, hexagonal axes), with a = 3.2135 Å, b = 3.2135 Å, c = 18.3020 Å, α = 90.00°, β = 90.00° and γ = 120.00°. The inequivalent atoms are Au at (0.0000, 0.0000, 0.0000), S at (0.0000, 0.0000, 0.5000) and O at (0.0000, 0.0000, 0.1137).

Its formation energy from raw total energies is 28 kJ per mole of atoms. For the total energy, the calculation gives -4.036 eV/atom. As for the density of states at the Fermi level: 0.290 states/eV/atom. The volume comes out at 13.6 Å³ per atom.

---

Entry 4:
This record from Alexandria via LeMat-Bulk describes a relaxed Au2SO crystal. The functional is PBE.

It has space group I-42d (No. 122), with a = 5.644 Å, b = 5.644 Å, c = 9.712 Å, α = 90.00°, β = 90.00° and γ = 90.00°. The inequivalent atoms are Au at (0.231, 0.250, 0.125), S at (0.000, 0.000, 0.500) and O at (0.000, 0.000, 0.000).

Its formation energy from raw total energies is 36 kJ per mole of atoms. The calculation puts the energy above the most stable polymorph in this dataset at 0.000 eV per atom. For the total energy, the calculation gives -3.542 eV/atom. As for the density of states at the Fermi level: 0.150 states/eV/atom. The volume comes out at 19.3 Å³ per atom.

---

Entry 5:
This record from Alexandria via LeMat-Bulk describes a relaxed Au2SO crystal. The functional is PBE.

It has space group Fm-3m (No. 225), with a = 6.202 Å, b = 6.202 Å, c = 6.202 Å, α = 90.00°, β = 90.00° and γ = 90.00°. The inequivalent atoms are Au at (0.250, 0.250, 0.250), S at (0.000, 0.000, 0.000) and O at (0.000, 0.000, 0.500).

Its formation energy from raw total energies is 63 kJ per mole of atoms. The calculation puts the energy above the most stable polymorph in this dataset at 0.280 eV per atom. For the total energy, the calculation gives -3.261 eV/atom. As for the density of states at the Fermi level: 0.558 states/eV/atom. The volume comes out at 14.9 Å³ per atom.

---

> What is the formation energy from raw total energies in the fifth record?

63 kJ per mole of atoms